1.
# InTeC3

Crystalline InTeC3 at its relaxed geometry (PBE, Alexandria).

Uncorrected formation energy in eV/atom: 3.024
Distance to the lowest polymorph of the same formula in meV per atom: 286

```
data_InTeC3
_chemical_formula_sum 'In1 Te1 C3'
_space_group_name_H-M_alt 'P m -3 m'
_space_group_IT_number 221
_space_group_name_Hall '-P 4 2 3'
_cell_length_a 4.392
_cell_length_b 4.392
_cell_length_c 4.392
_cell_angle_alpha 90.00
_cell_angle_beta 90.00
_cell_angle_gamma 90.00
loop_
_atom_site_label
_atom_site_fract_x
_atom_site_fract_y
_atom_site_fract_z
_atom_site_occupancy
In1 0.000 0.000 0.000 1
Te1 0.500 0.500 0.500 1
C1 0.000 0.000 0.500 1
```

=====

2.
# CeYAlPb

Crystalline CeYAlPb at its relaxed geometry (PBE, Alexandria).

ΔH_f (0 K) in eV per atom: -0.31

```
data_CeYAlPb
_chemical_formula_sum 'Ce4 Y4 Al4 Pb4'
_space_group_name_H-M_alt 'F -4 3 m'
_space_group_IT_number 216
_space_group_name_Hall 'F -4 2 3'
_cell_length_a 7.573
_cell_length_b 7.573
_cell_length_c 7.573
_cell_angle_alpha 90.00
_cell_angle_beta 90.00
_cell_angle_gamma 90.00
loop_
_atom_site_label
_atom_site_fract_x
_atom_site_fract_y
_atom_site_fract_z
_atom_site_occupancy
Ce1 0.000 0.000 0.000 1
Y1 0.000 0.000 0.500 1
Al1 0.250 0.250 0.750 1
Pb1 0.250 0.250 0.250 1
```

=====

3.
# LiTm2Al9

Crystalline LiTm2Al9 at its relaxed geometry (PBE, Alexandria).

ΔH_f (0 K) in eV per atom: -0.30

```
data_LiTm2Al9
_chemical_formula_sum 'Li1 Tm2 Al9'
_space_group_name_H-M_alt 'P 4/m m m'
_space_group_IT_number 123
_space_group_name_Hall '-P 4 2'
_cell_length_a 4.175
_cell_length_b 4.175
_cell_length_c 12.385
_cell_angle_alpha 90.00
_cell_angle_beta 90.00
_cell_angle_gamma 90.00
loop_
_atom_site_label
_atom_site_fract_x
_atom_site_fract_y
_atom_site_fract_z
_atom_site_occupancy
Li1 0.000 0.000 0.000 1
Tm1 0.000 0.000 0.328 1
Al1 0.000 0.500 0.153 1
Al2 0.000 0.500 0.500 1
Al3 0.500 0.500 0.000 1
Al4 0.500 0.500 0.329 1
```

=====

| no. | final energy (eV per atom) | calculated density (g cm⁻³) |
| --- | --- | --- |
| 1 | -3.69 | 5.5 |
| 2 | -5.27 | 7.1 |
| 3 | -4.01 | 4.5 |